This record from Alexandria via LeMat-Bulk describes a geometry-optimized Pa3Al2Rh6 structure. The functional is GGA-PBE.

```
Pa3Al2Rh6
1.0
-4.632 4.632 4.632
4.632 -4.632 4.632
4.632 4.632 -4.632
Pa Al Rh
6 4 12
Direct
0.000 0.281 0.281
0.000 0.719 0.719
0.281 0.000 0.281
0.281 0.281 0.000
0.719 0.000 0.719
0.719 0.719 0.000
0.000 0.000 0.500
0.000 0.500 0.000
0.500 0.000 0.000
0.500 0.500 0.500
0.000 0.349 0.651
0.000 0.651 0.349
0.301 0.651 0.651
0.349 0.000 0.651
0.349 0.349 0.699
0.349 0.651 0.000
0.349 0.699 0.349
0.651 0.000 0.349
0.651 0.301 0.651
0.651 0.349 0.000
0.651 0.651 0.301
0.699 0.349 0.349
```

* DOS at the Fermi energy: 17.59 states/eV per cell
* total moment: 0.00 μB/f.u.
* E: -8.057 eV/atom

=====

This record from Alexandria via LeMat-Bulk describes a geometry-optimized SrCdB3 structure. The functional is GGA-PBE.

```
SrCdB3
1.0
4.945 0.000 0.000
0.000 4.945 0.000
0.000 0.000 4.945
Sr Cd B
1 1 3
Direct
0.000 0.000 0.000
0.500 0.500 0.500
0.000 0.000 0.500
0.000 0.500 0.000
0.500 0.000 0.000
```

* E above lowest polymorph: 1052 meV per atom
* DOS at the Fermi energy: 4.63 states/eV per cell
* total moment: 0.00 μB/f.u.

=====

This record from Alexandria via LeMat-Bulk describes a geometry-optimized KTiI2O8 structure. The functional is GGA-PBE.

```
KTiI2O8
1.0
5.769 -2.793 0.000
5.769 2.793 0.000
-2.153 0.000 5.921
K Ti I O
1 1 2 8
Direct
0.000 0.000 0.000
0.500 0.500 0.500
0.217 0.217 0.678
0.783 0.783 0.322
0.135 0.645 0.290
0.180 0.180 0.378
0.355 0.865 0.710
0.411 0.411 0.698
0.589 0.589 0.302
0.645 0.135 0.290
0.820 0.820 0.622
0.865 0.355 0.710
```

* DOS at the Fermi energy: 3.63 states/eV per cell
* total moment: 0.67 μB/f.u.
* formation energy from raw total energies: -1.013 eV per atom

=====

This record from Alexandria via LeMat-Bulk describes a geometry-optimized DyTm5Th5 structure. The functional is GGA-PBE.

```
DyTm5Th5
1.0
6.270 0.000 0.000
-3.135 5.430 0.000
0.000 0.000 11.105
Dy Tm Th
1 5 5
Direct
0.000 0.000 0.000
0.000 0.000 0.328
0.000 0.000 0.672
0.333 0.667 0.182
0.333 0.667 0.818
0.667 0.333 0.000
0.013 0.507 0.500
0.493 0.507 0.500
0.493 0.987 0.500
0.667 0.333 0.268
0.667 0.333 0.732
```

* DOS at the Fermi energy: 17.73 states/eV per cell
* total moment: 0.00 μB/f.u.
* E: -5.423 eV/atom

=====

This record from Alexandria via LeMat-Bulk describes a geometry-optimized KLiSe2 structure. The functional is GGA-PBE.

```
KLiSe2
1.0
8.447 0.000 0.000
0.000 3.567 0.000
-1.399 0.000 6.698
K Li Se
2 2 4
Direct
0.000 0.000 0.000
0.500 0.500 0.000
0.000 0.500 0.500
0.500 0.000 0.500
0.235 0.000 0.664
0.265 0.500 0.336
0.735 0.500 0.664
0.765 0.000 0.336
```

* DOS at the Fermi energy: 4.67 states/eV per cell
* total moment: 0.00 μB/f.u.
* formation energy from raw total energies: -0.670 eV per atom

=====

This record from Alexandria via LeMat-Bulk describes a geometry-optimized In3HgOs structure. The functional is GGA-PBE.

```
In3HgOs
1.0
5.228 0.000 0.000
0.000 5.228 0.000
0.000 0.000 5.228
In Hg Os
3 1 1
Direct
0.000 0.000 0.500
0.000 0.500 0.000
0.500 0.000 0.000
0.500 0.500 0.500
0.000 0.000 0.000
```

* E above lowest polymorph: 0 meV per atom
* DOS at the Fermi energy: 2.09 states/eV per cell
* total moment: 0.00 μB/f.u.

=====

This record from Alexandria via LeMat-Bulk describes a geometry-optimized LaCuBi2 structure. The functional is GGA-PBE.

```
LaCuBi2
1.0
8.250 0.000 0.000
0.000 8.250 0.000
0.000 0.000 6.608
La Cu Bi
4 4 8
Direct
0.000 0.000 0.000
0.000 0.500 0.250
0.500 0.000 0.750
0.500 0.500 0.500
0.000 0.000 0.500
0.000 0.500 0.750
0.500 0.000 0.250
0.500 0.500 0.000
0.190 0.750 0.625
0.250 0.190 0.375
0.250 0.310 0.875
0.310 0.750 0.125
0.690 0.250 0.125
0.750 0.690 0.875
0.750 0.810 0.375
0.810 0.250 0.625
```

* DOS at the Fermi energy: 0.81 states/eV per cell
* total moment: 0.00 μB/f.u.
* E: -4.573 eV/atom

=====

This record from Alexandria via LeMat-Bulk describes a geometry-optimized GdDyScGa structure. The functional is GGA-PBE.

```
GdDyScGa
1.0
7.379 0.000 0.000
0.000 7.379 0.000
0.000 0.000 7.379
Gd Dy Sc Ga
4 4 4 4
Direct
0.000 0.000 0.000
0.000 0.500 0.500
0.500 0.000 0.500
0.500 0.500 0.000
0.000 0.000 0.500
0.000 0.500 0.000
0.500 0.000 0.000
0.500 0.500 0.500
0.250 0.250 0.750
0.250 0.750 0.250
0.750 0.250 0.250
0.750 0.750 0.750
0.250 0.250 0.250
0.250 0.750 0.750
0.750 0.250 0.750
0.750 0.750 0.250
```

* DOS at the Fermi energy: 22.60 states/eV per cell
* total moment: 8.17 μB/f.u.
* E: -7.164 eV/atom